Record 1
An optimized crystal structure of RbSn3Sb3, computed with PBE.

a = 10.0300 Å, b = 10.0300 Å, c = 6.1537 Å
α = 90.00°, β = 90.00°, γ = 120.00°
Positions (direct):
Rb  0.3333  0.6667  0.2500
Rb  0.6667  0.3333  0.7500
Sn  0.0065  0.2829  0.2500
Sn  0.2765  0.9935  0.2500
Sn  0.2829  0.2765  0.7500
Sn  0.7171  0.7235  0.2500
Sn  0.7235  0.0065  0.7500
Sn  0.9935  0.7171  0.7500
Sb  0.0184  0.3183  0.7500
Sb  0.3000  0.9816  0.7500
Sb  0.3183  0.3000  0.2500
Sb  0.6817  0.7000  0.7500
Sb  0.7000  0.0184  0.2500
Sb  0.9816  0.6817  0.2500

Results
Theoretical density   5.00 g cm⁻³
SG   No. 176
Raw formation energy   6 kJ/mol of formula units
Volume   536.1 Å³/cell
Total moment   0.00 μB per cell
Density of states at the Fermi level   7.0 states/eV/cell

***

Record 2
An optimized crystal structure of Mg14ZrGa, computed with PBE.

a = 10.3000 Å, b = 6.3494 Å, c = 6.3494 Å
α = 58.46°, β = 90.00°, γ = 90.00°
Positions (direct):
Mg  0.0000  0.0000  0.0000
Mg  0.0000  0.0014  0.4982
Mg  0.0000  0.4982  0.0014
Mg  0.0000  0.4994  0.4994
Mg  0.2504  0.6621  0.6621
Mg  0.2539  0.1683  0.6629
Mg  0.2539  0.6629  0.1683
Mg  0.2600  0.1603  0.1603
Mg  0.5000  0.0000  0.5085
Mg  0.5000  0.5085  0.0000
Mg  0.7400  0.1603  0.1603
Mg  0.7461  0.1683  0.6629
Mg  0.7461  0.6629  0.1683
Mg  0.7496  0.6621  0.6621
Zr  0.5000  0.5044  0.5044
Ga  0.5000  0.9975  0.9975

Results
Theoretical density   2.35 g cm⁻³
SG   No. 38
DFT formation energy   -22 meV per atom
Volume   353.9 Å³/cell
Total moment   0.00 μB per cell
Density of states at the Fermi level   6.9 states/eV/cell

***

Record 3
An optimized crystal structure of Ho3ScIn, computed with PBE.

a = 12.4123 Å, b = 12.4123 Å, c = 4.7394 Å
α = 90.00°, β = 90.00°, γ = 158.02°
Positions (direct):
Ho  0.0521  0.9479  0.7500
Ho  0.2500  0.7500  0.7500
Ho  0.4454  0.5546  0.7500
Ho  0.5546  0.4454  0.2500
Ho  0.7500  0.2500  0.2500
Ho  0.9479  0.0521  0.2500
Sc  0.1511  0.8489  0.2500
Sc  0.8489  0.1511  0.7500
In  0.3478  0.6522  0.2500
In  0.6522  0.3478  0.7500

Results
Theoretical density   7.95 g cm⁻³
SG   No. 63
DFT formation energy   -179 meV per atom
Volume   273.3 Å³/cell
Total moment   0.00 μB per cell
Density of states at the Fermi level   11.6 states/eV/cell

***

Record 4
An optimized crystal structure of CdW2, computed with PBE.

a = 4.9972 Å, b = 4.9972 Å, c = 4.9972 Å
α = 148.46°, β = 127.24°, γ = 62.78°
Positions (direct):
Cd  0.0000  0.0000  0.0000
W  0.3334  0.3334  0.0000
W  0.6666  0.6666  0.0000

Results
Theoretical density   15.49 g cm⁻³
SG   No. 71
DFT formation energy   555 meV per atom
Volume   51.5 Å³/cell
Total moment   0.00 μB per cell
Density of states at the Fermi level   0.8 states/eV/cell

***

Please write out number 2 again, unchanged.
An optimized crystal structure of Mg14ZrGa, computed with PBE.

a = 10.3000 Å, b = 6.3494 Å, c = 6.3494 Å
α = 58.46°, β = 90.00°, γ = 90.00°
Positions (direct):
Mg  0.0000  0.0000  0.0000
Mg  0.0000  0.0014  0.4982
Mg  0.0000  0.4982  0.0014
Mg  0.0000  0.4994  0.4994
Mg  0.2504  0.6621  0.6621
Mg  0.2539  0.1683  0.6629
Mg  0.2539  0.6629  0.1683
Mg  0.2600  0.1603  0.1603
Mg  0.5000  0.0000  0.5085
Mg  0.5000  0.5085  0.0000
Mg  0.7400  0.1603  0.1603
Mg  0.7461  0.1683  0.6629
Mg  0.7461  0.6629  0.1683
Mg  0.7496  0.6621  0.6621
Zr  0.5000  0.5044  0.5044
Ga  0.5000  0.9975  0.9975

Results
Theoretical density   2.35 g cm⁻³
SG   No. 38
DFT formation energy   -22 meV per atom
Volume   353.9 Å³/cell
Total moment   0.00 μB per cell
Density of states at the Fermi level   6.9 states/eV/cell